Entry from Alexandria: a relaxed structure of GaAuCl6 (GGA-PBE).

The structure in CIF format:
```
data_GaAuCl6
_chemical_formula_sum 'Ga1 Au1 Cl6'
_cell_length_a 5.672
_cell_length_b 6.741
_cell_length_c 7.429
_cell_angle_alpha 63.91
_cell_angle_beta 71.63
_cell_angle_gamma 86.45
_symmetry_space_group_name_H-M 'P 1'
_symmetry_Int_Tables_number 1
_symmetry_space_group_name_Hall 'P 1'
loop_
_atom_site_label
_atom_site_type_symbol
_atom_site_fract_x
_atom_site_fract_y
_atom_site_fract_z
Ga1 Ga 0.000 0.000 0.000
Au1 Au 0.500 0.500 0.000
Cl1 Cl 0.050 0.833 0.307
Cl2 Cl 0.292 0.366 0.844
Cl3 Cl 0.381 0.848 0.811
Cl4 Cl 0.619 0.152 0.189
Cl5 Cl 0.708 0.634 0.156
Cl6 Cl 0.950 0.167 0.693
```

Output
V: 30.14 A^3/atom
E_form (uncorrected): -0.609 eV/atom
total DFT energy (no corrections): -0.1023 hartree per atom
total magnetic moment: 0.00 μB per formula unit


Entry from Alexandria: a relaxed structure of GaAuCl4 (GGA-PBE).

The structure in CIF format:
```
data_GaAuCl4
_chemical_formula_sum 'Ga1 Au1 Cl4'
_cell_length_a 6.447
_cell_length_b 6.447
_cell_length_c 6.447
_cell_angle_alpha 119.41
_cell_angle_beta 119.41
_cell_angle_gamma 91.02
_symmetry_space_group_name_H-M 'P 1'
_symmetry_Int_Tables_number 1
_symmetry_space_group_name_Hall 'P 1'
loop_
_atom_site_label
_atom_site_type_symbol
_atom_site_fract_x
_atom_site_fract_y
_atom_site_fract_z
Ga1 Ga 0.000 0.000 0.000
Au1 Au 0.750 0.250 0.500
Cl1 Cl 0.071 0.059 0.401
Cl2 Cl 0.330 0.929 0.988
Cl3 Cl 0.658 0.670 0.599
Cl4 Cl 0.941 0.342 0.012
```

Output
V: 31.85 A^3/atom
E_form (uncorrected): -0.729 eV/atom
total DFT energy (no corrections): -0.1106 hartree per atom
total magnetic moment: 0.00 μB per formula unit


Entry from Alexandria: a relaxed structure of GaAuCl2 (GGA-PBE).

The structure in CIF format:
```
data_GaAuCl2
_chemical_formula_sum 'Ga1 Au1 Cl2'
_cell_length_a 4.972
_cell_length_b 4.972
_cell_length_c 4.972
_cell_angle_alpha 60.00
_cell_angle_beta 60.00
_cell_angle_gamma 60.00
_symmetry_space_group_name_H-M 'P 1'
_symmetry_Int_Tables_number 1
_symmetry_space_group_name_Hall 'P 1'
loop_
_atom_site_label
_atom_site_type_symbol
_atom_site_fract_x
_atom_site_fract_y
_atom_site_fract_z
Ga1 Ga 0.000 0.000 0.000
Au1 Au 0.500 0.500 0.500
Cl1 Cl 0.250 0.250 0.250
Cl2 Cl 0.750 0.750 0.750
```

Output
V: 21.72 A^3/atom
E_form (uncorrected): -0.111 eV/atom
total DFT energy (no corrections): -0.0959 hartree per atom
total magnetic moment: 0.00 μB per formula unit
energy relative to the lowest polymorph listed for this composition: 145 meV/atom


Entry from Alexandria: a relaxed structure of Ga2AuCl (GGA-PBE).

The structure in CIF format:
```
data_Ga2AuCl
_chemical_formula_sum 'Ga4 Au2 Cl2'
_cell_length_a 7.494
_cell_length_b 7.494
_cell_length_c 7.494
_cell_angle_alpha 130.71
_cell_angle_beta 130.71
_cell_angle_gamma 72.27
_symmetry_space_group_name_H-M 'P 1'
_symmetry_Int_Tables_number 1
_symmetry_space_group_name_Hall 'P 1'
loop_
_atom_site_label
_atom_site_type_symbol
_atom_site_fract_x
_atom_site_fract_y
_atom_site_fract_z
Ga1 Ga 0.086 0.625 0.961
Ga2 Ga 0.375 0.336 0.461
Ga3 Ga 0.664 0.125 0.039
Ga4 Ga 0.875 0.914 0.539
Au1 Au 0.000 0.000 0.000
Au2 Au 0.750 0.250 0.500
Cl1 Cl 0.250 0.750 0.500
Cl2 Cl 0.500 0.500 0.000
```

Output
V: 29.55 A^3/atom
E_form (uncorrected): -0.261 eV/atom
total DFT energy (no corrections): -0.1123 hartree per atom
total magnetic moment: 0.00 μB per formula unit
energy relative to the lowest polymorph listed for this composition: 151 meV/atom


Entry from Alexandria: a relaxed structure of GaAu2Cl (GGA-PBE).

The structure in CIF format:
```
data_GaAu2Cl
_chemical_formula_sum 'Ga2 Au4 Cl2'
_cell_length_a 6.279
_cell_length_b 6.279
_cell_length_c 6.279
_cell_angle_alpha 114.26
_cell_angle_beta 114.26
_cell_angle_gamma 100.27
_symmetry_space_group_name_H-M 'P 1'
_symmetry_Int_Tables_number 1
_symmetry_space_group_name_Hall 'P 1'
loop_
_atom_site_label
_atom_site_type_symbol
_atom_site_fract_x
_atom_site_fract_y
_atom_site_fract_z
Ga1 Ga 0.000 0.000 0.000
Ga2 Ga 0.750 0.250 0.500
Au1 Au 0.097 0.125 0.472
Au2 Au 0.375 0.903 0.028
Au3 Au 0.653 0.625 0.528
Au4 Au 0.875 0.347 0.972
Cl1 Cl 0.250 0.750 0.500
Cl2 Cl 0.500 0.500 0.000
```

Output
V: 23.37 A^3/atom
E_form (uncorrected): -0.041 eV/atom
total DFT energy (no corrections): -0.1065 hartree per atom
total magnetic moment: 0.00 μB per formula unit
energy relative to the lowest polymorph listed for this composition: 0 meV/atom


Entry from Alexandria: a relaxed structure of GaAu2Cl (GGA-PBE).

The structure in CIF format:
```
data_GaAu2Cl
_chemical_formula_sum 'Ga1 Au2 Cl1'
_cell_length_a 4.809
_cell_length_b 4.809
_cell_length_c 4.809
_cell_angle_alpha 60.00
_cell_angle_beta 60.00
_cell_angle_gamma 60.00
_symmetry_space_group_name_H-M 'P 1'
_symmetry_Int_Tables_number 1
_symmetry_space_group_name_Hall 'P 1'
loop_
_atom_site_label
_atom_site_type_symbol
_atom_site_fract_x
_atom_site_fract_y
_atom_site_fract_z
Ga1 Ga 0.000 0.000 0.000
Au1 Au 0.250 0.250 0.250
Au2 Au 0.750 0.750 0.750
Cl1 Cl 0.500 0.500 0.500
```

Output
V: 19.66 A^3/atom
E_form (uncorrected): 0.236 eV/atom
total DFT energy (no corrections): -0.0963 hartree per atom
total magnetic moment: 0.00 μB per formula unit
energy relative to the lowest polymorph listed for this composition: 277 meV/atom


Look up the total DFT energy (no corrections) of the fourth one. -0.1123 hartree per atom